Here is a relaxed structure of CsSmGeSe3 from the Open Quantum Materials Database. Energies are from GGA-PBE.

Output
* symmetry: Cmcm (63)
* raw total energy: -4.59 eV/atom

Unit cell a=8.1648 b=8.1648 c=11.5593 alpha=90.00 beta=90.00 gamma=148.10
Last column: nearest neighbours and their distance in Å.
Sites, in units of the cell vectors:
Cs 0.7570 0.2430 0.2500  8 Se 3.72-3.92, 2 Ge 4.09
Cs 0.2430 0.7570 0.7500  8 Se 3.72-3.92, 2 Ge 4.09
Ge 0.0394 0.9606 0.2500  4 Se 2.68
Ge 0.9606 0.0394 0.7500  4 Se 2.68
Se 0.1204 0.8796 0.0458  1 Ge 2.68, 2 Sm 2.98
Se 0.4456 0.5544 0.2500  2 Ge 2.68
Se 0.1204 0.8796 0.4542  1 Ge 2.68, 2 Sm 2.98
Se 0.8796 0.1204 0.5458  1 Ge 2.68, 2 Sm 2.98
Se 0.5544 0.4456 0.7500  2 Ge 2.68
Se 0.8796 0.1204 0.9542  1 Ge 2.68, 2 Sm 2.98
Sm 0.5000 0.5000 0.0000  6 Se 2.98-3.01
Sm 0.5000 0.5000 0.5000  6 Se 2.98-3.01